KNi2PdN | GGA-PBE | optimized geometry

Values from the calculation:
raw formation energy: 2.4899 eV/atom
electronic total energy: -0.202 Ry/atom
total magnetic moment: 3.23 μB/f.u.
SG: No. 123

Cell: 4.557 4.449 4.557 Å, 90.00 90.00 90.00°
Element x y z (fractional)
1 Ni 0.500 0.000 0.000
2 Ni 0.000 0.000 0.500
3 K 0.000 0.000 0.000
4 N 0.000 0.500 0.000
5 Pd 0.500 0.500 0.500

***

LiTl2In | GGA-PBE | optimized geometry

Values from the calculation:
E_form: -0.054 eV/atom
electronic total energy: -0.176 Ry/atom
total magnetic moment: 0.00 μB/f.u.
SG: No. 12

Cell: 6.006 6.198 3.417 Å, 76.63 84.74 117.34°
Element x y z (fractional)
1 Li 0.500 0.500 0.000
2 In 0.000 0.500 0.500
3 Tl 0.000 0.000 0.000
4 Tl 0.500 0.000 0.500

***

Ca2PrHg7 | GGA-PBE | optimized geometry

Values from the calculation:
E_form: -0.199 eV/atom
electronic total energy: -0.095 Ry/atom
total magnetic moment: 0.00 μB/f.u.
distance to the lowest polymorph of the same formula: 133 meV/atom
SG: No. 65

Cell: 4.036 8.549 9.778 Å, 115.92 90.00 90.00°
Element x y z (fractional)
1 Hg 0.500 0.326 0.206
2 Hg 0.000 0.631 0.263
3 Hg 0.500 0.120 0.794
4 Hg 0.000 0.369 0.737
5 Hg 0.500 0.674 0.794
6 Hg 0.500 0.500 0.000
7 Hg 0.500 0.880 0.206
8 Ca 0.500 0.760 0.520
9 Ca 0.500 0.240 0.480
10 Pr 0.000 0.000 0.000

***

Ac5Pr5Sn6 | GGA-PBE | optimized geometry

Values from the calculation:
E_form: -0.650 eV/atom
electronic total energy: -0.362 Ry/atom
total magnetic moment: 0.06 μB/f.u.
SG: No. 38

Cell: 6.973 9.665 9.665 Å, 119.60 90.00 90.00°
Element x y z (fractional)
1 Sn 0.500 0.397 0.397
2 Sn 0.000 0.395 0.006
3 Sn 0.000 0.597 0.597
4 Sn 0.500 0.000 0.601
5 Sn 0.500 0.601 0.000
6 Sn 0.000 0.006 0.395
7 Ac 0.000 0.000 0.754
8 Ac 0.500 0.751 0.751
9 Ac 0.000 0.754 0.000
10 Ac 0.500 0.245 0.001
11 Ac 0.500 0.001 0.245
12 Pr 0.000 0.253 0.253
13 Pr 0.249 0.333 0.666
14 Pr 0.249 0.666 0.333
15 Pr 0.751 0.666 0.333
16 Pr 0.751 0.333 0.666

***

CaZn | GGA-PBE | optimized geometry

Values from the calculation:
E_form: -0.178 eV/atom
electronic total energy: -0.133 Ry/atom
total magnetic moment: 0.00 μB/f.u.
SG: No. 74

Cell: 6.233 6.233 6.233 Å, 146.85 130.46 60.92°
Element x y z (fractional)
1 Ca 0.649 0.399 0.750
2 Ca 0.351 0.601 0.250
3 Zn 0.910 0.160 0.250
4 Zn 0.090 0.840 0.750

***

AgHPt | GGA-PBE | optimized geometry

Values from the calculation:
electronic total energy: -0.297 Ry/atom
total magnetic moment: 0.00 μB/f.u.
distance to the lowest polymorph of the same formula: 39 meV/atom
SG: No. 1

Cell: 2.911 5.269 5.115 Å, 82.40 90.17 72.51°
Element x y z (fractional)
1 H 0.722 0.576 0.319
2 H 0.274 0.420 0.687
3 Pt 0.871 0.237 0.629
4 Pt 0.124 0.761 0.374
5 Ag 0.375 0.235 0.134
6 Ag 0.620 0.762 0.870

***

Ni3SbS | GGA-PBE | optimized geometry

Values from the calculation:
raw formation energy: 1.0835 eV/atom
electronic total energy: -0.297 Ry/atom
total magnetic moment: 0.00 μB/f.u.
distance to the lowest polymorph of the same formula: 1037 meV/atom
SG: No. 221

Cell: 4.670 4.670 4.670 Å, 90.00 90.00 90.00°
Element x y z (fractional)
1 Ni 0.000 0.000 0.500
2 Ni 0.000 0.500 0.000
3 Ni 0.500 0.000 0.000
4 Sb 0.000 0.000 0.000
5 S 0.500 0.500 0.500

***

LaHo2Er | GGA-PBE | optimized geometry

Values from the calculation:
E_form: 0.036 eV/atom
electronic total energy: -0.340 Ry/atom
total magnetic moment: 0.00 μB/f.u.
distance to the lowest polymorph of the same formula: 27 meV/atom
SG: No. 123

Cell: 5.074 5.059 5.059 Å, 90.00 90.00 90.00°
Element x y z (fractional)
1 Er 0.500 0.500 0.500
2 Ho 0.000 0.000 0.500
3 Ho 0.000 0.500 0.000
4 La 0.500 0.000 0.000

***

Ta14TiRe | GGA-PBE | optimized geometry

Values from the calculation:
E_form: -0.050 eV/atom
electronic total energy: -0.859 Ry/atom
total magnetic moment: 0.00 μB/f.u.
SG: No. 65

Cell: 5.711 5.711 9.309 Å, 90.00 90.00 108.95°
Element x y z (fractional)
1 Ta 0.125 0.375 0.500
2 Ta 0.625 0.375 0.000
3 Ta 0.868 0.618 0.258
4 Ta 0.125 0.875 0.000
5 Ta 0.625 0.875 0.000
6 Ta 0.880 0.120 0.251
7 Ta 0.880 0.120 0.749
8 Ta 0.382 0.132 0.258
9 Ta 0.370 0.630 0.749
10 Ta 0.382 0.132 0.742
11 Ta 0.125 0.375 0.000
12 Ta 0.625 0.875 0.500
13 Ta 0.868 0.618 0.742
14 Ta 0.370 0.630 0.251
15 Re 0.625 0.375 0.500
16 Ti 0.125 0.875 0.500

***

SrPW3 | GGA-PBE | optimized geometry

Values from the calculation:
E_form: 0.969 eV/atom
electronic total energy: -0.604 Ry/atom
total magnetic moment: 0.00 μB/f.u.
distance to the lowest polymorph of the same formula: 0 meV/atom
SG: No. 221

Cell: 4.641 4.641 4.641 Å, 90.00 90.00 90.00°
Element x y z (fractional)
1 P 0.000 0.000 0.000
2 Sr 0.500 0.500 0.500
3 W 0.500 0.000 0.000
4 W 0.000 0.000 0.500
5 W 0.000 0.500 0.000

***

ZrCoSe2 | GGA-PBE | optimized geometry

Values from the calculation:
raw formation energy: -0.5322 eV/atom
electronic total energy: -0.455 Ry/atom
total magnetic moment: 2.59 μB/f.u.
distance to the lowest polymorph of the same formula: 215 meV/atom
SG: No. 166

Cell: 3.752 3.752 6.544 Å, 73.36 73.36 59.95°
Element x y z (fractional)
1 Co 0.750 0.750 0.750
2 Se 0.010 0.010 0.969
3 Se 0.490 0.490 0.531
4 Zr 0.250 0.250 0.250

***

TmAs12Os4 | GGA-PBE | optimized geometry

Values from the calculation:
E_form: -0.282 eV/atom
electronic total energy: -0.476 Ry/atom
total magnetic moment: 0.00 μB/f.u.
SG: No. 204

Cell: 7.460 7.460 7.460 Å, 109.47 109.47 109.47°
Element x y z (fractional)
1 As 0.346 0.198 0.852
2 As 0.506 0.852 0.654
3 As 0.494 0.148 0.346
4 As 0.852 0.346 0.198
5 As 0.198 0.852 0.346
6 As 0.852 0.654 0.506
7 As 0.654 0.802 0.148
8 As 0.148 0.346 0.494
9 As 0.802 0.148 0.654
10 As 0.148 0.654 0.802
11 As 0.346 0.494 0.148
12 As 0.654 0.506 0.852
13 Os 0.500 0.000 0.000
14 Os 0.000 0.500 0.000
15 Os 0.000 0.000 0.500
16 Os 0.500 0.500 0.500
17 Tm 0.000 0.000 0.000

***

- Which value of electronic total energy does entry 12 give?
  -0.476 Ry/atom

***

Copy entry 5 word for word.
CaZn | GGA-PBE | optimized geometry

Values from the calculation:
E_form: -0.178 eV/atom
electronic total energy: -0.133 Ry/atom
total magnetic moment: 0.00 μB/f.u.
SG: No. 74

Cell: 6.233 6.233 6.233 Å, 146.85 130.46 60.92°
Element x y z (fractional)
1 Ca 0.649 0.399 0.750
2 Ca 0.351 0.601 0.250
3 Zn 0.910 0.160 0.250
4 Zn 0.090 0.840 0.750